Zr2ZnPt: optimized geometry, GGA-PBE.

The space group is I-4m2 (No. 119) and the conventional cell measures 4.009, 4.009 and 9.263 Å, with angles of 90.00, 90.00 and 90.00 degrees. The asymmetric unit holds Zr at (0.000, 0.000, 0.000), Zr at (0.000, 0.500, 0.250), Zn at (0.000, 0.000, 0.500) and Pt at (0.000, 0.500, 0.750).

Its crystal system is tetragonal. The calculation puts the formation energy at -524 meV per atom. For the density of states at the Fermi level, the calculation gives 3.8 states/eV/f.u.

---

YPuAgIr: optimized geometry, GGA-PBE.

The space group is F-43m (No. 216) and the conventional cell measures 7.065, 7.065 and 7.065 Å, with angles of 90.00, 90.00 and 90.00 degrees. The asymmetric unit holds Y at (0.000, 0.000, 0.000), Pu at (0.000, 0.000, 0.500), Ag at (0.250, 0.250, 0.750) and Ir at (0.250, 0.250, 0.250).

Its crystal system is cubic. The calculation puts the formation energy at -341 meV per atom. For the density of states at the Fermi level, the calculation gives 11.0 states/eV/f.u.

---

YAg4Au: optimized geometry, GGA-PBE.

The space group is F-43m (No. 216) and the conventional cell measures 7.807, 7.807 and 7.807 Å, with angles of 90.00, 90.00 and 90.00 degrees. The asymmetric unit holds Y at (0.000, 0.000, 0.000), Ag at (0.125, 0.125, 0.625) and Au at (0.250, 0.250, 0.250).

Its crystal system is cubic. The calculation puts the formation energy at -205 meV per atom. For the density of states at the Fermi level, the calculation gives 5.7 states/eV/f.u.